1.
Entry from OQMD: a relaxed structure of SnPtW (PBE).

```
3
Lattice="0.0000 3.1143 3.1143 3.1143 0.0000 3.1143 3.1143 3.1143 0.0000" Properties=species:S:1:pos:R:3 pbc="T T T"
Sn 0.0000 0.0000 0.0000
Pt 1.5571 1.5571 1.5571
W 3.1143 3.1143 3.1143
```

Results
crystal system	cubic
E above lowest polymorph	0	meV per atom
theoretical density	13.68	g cm⁻³
space group	No. 216
VASP energy	-21.9	eV per cell

=====

2.
Entry from OQMD: a relaxed structure of HfCuPdPb (PBE).

```
4
Lattice="0.0000 3.3165 3.3165 3.3165 0.0000 3.3165 3.3165 3.3165 0.0000" Properties=species:S:1:pos:R:3 pbc="T T T"
Hf 0.0000 0.0000 0.0000
Cu 4.9747 4.9747 4.9747
Pd 1.6582 1.6582 1.6582
Pb 3.3165 3.3165 3.3165
```

Results
crystal system	cubic
E above lowest polymorph	0	meV per atom
theoretical density	12.65	g cm⁻³
space group	No. 216
VASP energy	-23.3	eV per cell